# 1
A plane-wave DFT calculation with PBE was carried out for a geometry-optimized Ni5GeB structure.

Lattice parameters (Å, degrees): 4.887 4.887 8.373 65.01 65.01 71.83
Fractional coordinates of all 14 atoms:
Ni: 0.161 0.356 0.274
Ni: 0.839 0.644 0.726
Ni: 0.644 0.839 0.226
Ni: 0.744 0.476 0.512
Ni: 0.476 0.744 0.012
Ni: 0.256 0.524 0.488
Ni: 0.356 0.161 0.774
Ni: 0.524 0.256 0.988
Ni: 0.077 0.923 0.250
Ni: 0.923 0.077 0.750
Ge: 0.330 0.670 0.750
Ge: 0.670 0.330 0.250
B: 0.000 0.000 0.500
B: 0.000 0.000 0.000

## Properties
Energy relative to the lowest polymorph listed for this composition = 286 meV/atom
Crystal system = monoclinic
DOS(E_F) = 6.11 states/eV/f.u.
Formation enthalpy at 0 K = 0.305 eV/f.u.
Total magnetization = 0.00 μB per formula unit

=====

# 2
A plane-wave DFT calculation with PBE was carried out for a geometry-optimized Ni8Ge2B3 structure.

Lattice parameters (Å, degrees): 2.949 6.081 14.718 90.00 90.00 90.00
Fractional coordinates of all 26 atoms:
Ni: 0.500 0.201 0.273
Ni: 0.000 0.341 0.587
Ni: 0.500 0.659 0.913
Ni: 0.000 0.799 0.773
Ni: 0.500 0.076 0.500
Ni: 0.000 0.703 0.500
Ni: 0.000 0.799 0.227
Ni: 0.500 0.659 0.087
Ni: 0.000 0.924 0.000
Ni: 0.500 0.201 0.727
Ni: 0.000 0.341 0.413
Ni: 0.500 0.297 0.000
Ni: 0.000 0.368 0.146
Ni: 0.500 0.632 0.646
Ni: 0.500 0.632 0.354
Ni: 0.000 0.368 0.854
B: 0.000 0.543 0.000
B: 0.000 0.461 0.718
B: 0.500 0.539 0.782
B: 0.000 0.461 0.282
B: 0.500 0.539 0.218
B: 0.500 0.457 0.500
Ge: 0.000 0.962 0.375
Ge: 0.500 0.038 0.875
Ge: 0.000 0.962 0.625
Ge: 0.500 0.038 0.125

## Properties
Crystal system = orthorhombic
DOS(E_F) = 3.95 states/eV/f.u.
Formation enthalpy at 0 K = -4.135 eV/f.u.
Total magnetization = 0.00 μB per formula unit

=====

# 3
A plane-wave DFT calculation with PBE was carried out for a geometry-optimized Ni3GeB structure.

Lattice parameters (Å, degrees): 3.897 5.648 5.648 119.99 90.00 90.00
Fractional coordinates of all 10 atoms:
B: 0.500 0.000 0.000
B: 0.000 0.000 0.000
Ni: 0.750 0.181 0.819
Ni: 0.750 0.637 0.819
Ni: 0.250 0.819 0.637
Ni: 0.250 0.819 0.181
Ni: 0.250 0.363 0.181
Ni: 0.750 0.181 0.363
Ge: 0.750 0.667 0.333
Ge: 0.250 0.333 0.667

## Properties
Energy relative to the lowest polymorph listed for this composition = 0 meV/atom
Crystal system = hexagonal
DOS(E_F) = 2.85 states/eV/f.u.
Formation enthalpy at 0 K = -1.152 eV/f.u.
Total magnetization = 0.00 μB per formula unit

=====

# 4
A plane-wave DFT calculation with PBE was carried out for a geometry-optimized Ni6GeB2 structure.

Lattice parameters (Å, degrees): 6.172 6.172 6.172 103.45 111.56 113.57
Fractional coordinates of all 18 atoms:
Ni: 0.204 0.240 0.444
Ni: 0.796 0.240 0.037
Ni: 0.893 0.705 0.189
Ni: 0.484 0.295 0.189
Ni: 0.688 0.015 0.326
Ni: 0.204 0.760 0.963
Ni: 0.796 0.760 0.556
Ni: 0.312 0.985 0.674
Ni: 0.107 0.295 0.811
Ni: 0.688 0.362 0.674
Ni: 0.312 0.638 0.326
Ni: 0.516 0.705 0.811
Ge: 0.000 0.500 0.500
Ge: 0.000 0.000 0.000
B: 0.500 0.381 0.881
B: 0.646 0.000 0.646
B: 0.500 0.619 0.119
B: 0.354 0.000 0.354

## Properties
Crystal system = orthorhombic
DOS(E_F) = 5.22 states/eV/f.u.
Formation enthalpy at 0 K = -2.327 eV/f.u.
Total magnetization = 0.00 μB per formula unit

=====

# 5
A plane-wave DFT calculation with PBE was carried out for a geometry-optimized Ni3GeB structure.

Lattice parameters (Å, degrees): 4.286 4.286 4.286 90.00 90.00 90.00
Each line ends with the local moment (μB).
Fractional coordinates of all 5 atoms:
Ni: 0.000 0.500 0.000  0.10
Ni: 0.000 0.000 0.500  0.12
Ni: 0.500 0.000 0.000  0.16
Ge: 0.000 0.000 0.000  0.01
B: 0.500 0.500 0.500  0.08

## Properties
Energy relative to the lowest polymorph listed for this composition = 1656 meV/atom
Crystal system = cubic
DOS(E_F) = 9.01 states/eV/f.u.
Formation enthalpy at 0 K = 7.128 eV/f.u.
Total magnetization = 0.54 μB per formula unit

=====

# 6
A plane-wave DFT calculation with PBE was carried out for a geometry-optimized Ni8Ge2B structure.

Lattice parameters (Å, degrees): 3.962 5.089 6.805 111.13 106.92 90.00
Fractional coordinates of all 11 atoms:
Ni: 0.993 0.231 0.985
Ni: 0.192 0.225 0.384
Ni: 0.007 0.769 0.015
Ni: 0.387 0.610 0.773
Ni: 0.808 0.775 0.616
Ni: 0.613 0.390 0.227
Ni: 0.364 0.089 0.727
Ni: 0.636 0.911 0.273
B: 0.500 0.000 0.000
Ge: 0.178 0.686 0.356
Ge: 0.822 0.314 0.644

## Properties
Crystal system = monoclinic
DOS(E_F) = 8.62 states/eV/f.u.
Formation enthalpy at 0 K = -2.319 eV/f.u.
Total magnetization = 0.00 μB per formula unit

=====

What is the total magnetization in the fifth record? 0.54 μB per formula unit

=====

Number 3 is which compound? Ni3GeB